No. 1
This record from Alexandria via LeMat-Bulk describes BaTcMo2 after structural relaxation. The functional is PBE. Values from VASP.

## Properties
- Energy relative to the lowest polymorph listed for this composition: 1.75 eV per formula unit
- E_form: 1.1313 eV per atom
- Magnetic moment: 0.00 μB/f.u.

Cell and atoms, written as Quantum ESPRESSO input:
```
&SYSTEM
  ibrav = 0, nat = 4, ntyp = 3
/
ATOMIC_SPECIES
Ba 137.33 Ba.upf
Tc 98.00 Tc.upf
Mo 95.94 Mo.upf
ATOMIC_POSITIONS angstrom
Ba 0.0000 0.0000 0.0000
Tc 0.0000 0.0000 5.0627
Mo 1.5237 0.0000 3.0025
Mo 0.0000 2.7463 2.0603
CELL_PARAMETERS angstrom
-1.5237 2.7463 5.0627
1.5237 -2.7463 5.0627
1.5237 2.7463 -5.0627
```



No. 2
This record from Alexandria via LeMat-Bulk describes La2PmDy8 after structural relaxation. The functional is PBE. Values from VASP.

## Properties
- Energy relative to the lowest polymorph listed for this composition: 0.58 eV per formula unit
- E_form: 0.1709 eV per atom
- Magnetic moment: 0.00 μB/f.u.

Cell and atoms, written as Quantum ESPRESSO input:
```
&SYSTEM
  ibrav = 0, nat = 11, ntyp = 3
/
ATOMIC_SPECIES
La 138.91 La.upf
Pm 145.00 Pm.upf
Dy 162.50 Dy.upf
ATOMIC_POSITIONS angstrom
La 4.0126 0.0000 1.4281
La 14.7190 0.0000 4.1713
Pm 9.4892 0.0000 0.0000
Dy 0.7743 0.0000 1.3388
Dy 6.9748 1.9015 1.4826
Dy 5.8020 0.0000 4.2922
Dy 11.7568 1.9015 4.1168
Dy 6.9748 -1.9015 1.4826
Dy 12.9296 0.0000 1.3072
Dy 11.7568 -1.9015 4.1168
Dy 17.9573 0.0000 4.2606
CELL_PARAMETERS angstrom
9.4892 -3.5492 0.0000
9.4892 3.5492 0.0000
-0.2468 0.0000 5.5994
```



No. 3
This record from Alexandria via LeMat-Bulk describes RbHg9Pt2 after structural relaxation. The functional is PBE. Values from VASP.

## Properties
- E_form: -0.0634 eV per atom
- Magnetic moment: 0.00 μB/f.u.

Cell and atoms, written as Quantum ESPRESSO input:
```
&SYSTEM
  ibrav = 0, nat = 12, ntyp = 3
/
ATOMIC_SPECIES
Rb 85.47 Rb.upf
Hg 200.59 Hg.upf
Pt 195.08 Pt.upf
ATOMIC_POSITIONS angstrom
Rb 0.0000 0.0000 0.0000
Hg -2.3338 4.0423 0.0000
Hg 0.0000 3.2367 2.1298
Hg -1.8646 6.4663 2.1298
Hg 2.8031 1.6184 2.1298
Hg 4.6677 0.0000 0.0000
Hg 2.3338 4.0423 0.0000
Hg 1.8646 6.4663 2.1298
Hg 6.5323 1.6184 2.1298
Hg 4.6677 4.8479 2.1298
Pt 0.0000 5.3898 0.0000
Pt 4.6677 2.6949 0.0000
CELL_PARAMETERS angstrom
9.3354 0.0000 0.0000
-4.6677 8.0847 0.0000
0.0000 0.0000 4.2595
```



No. 4
This record from Alexandria via LeMat-Bulk describes InAgTe2 after structural relaxation. The functional is PBE. Values from VASP.

## Properties
- ΔE_f (raw): -0.62 eV per formula unit
- Magnetic moment: 0.00 μB/f.u.

Cell and atoms, written as Quantum ESPRESSO input:
```
&SYSTEM
  ibrav = 0, nat = 4, ntyp = 3
/
ATOMIC_SPECIES
In 114.82 In.upf
Ag 107.87 Ag.upf
Te 127.60 Te.upf
ATOMIC_POSITIONS angstrom
In 0.0000 0.0000 0.0000
Ag 2.1509 2.1509 2.9967
Te 0.0000 0.0000 2.9967
Te 2.1509 2.1509 0.0000
CELL_PARAMETERS angstrom
4.3019 0.0000 0.0000
0.0000 4.3019 0.0000
0.0000 0.0000 5.9935
```



No. 5
This record from Alexandria via LeMat-Bulk describes Ac6InPb after structural relaxation. The functional is PBE. Values from VASP.

## Properties
- E_form: -0.2128 eV per atom
- Magnetic moment: 0.00 μB/f.u.

Cell and atoms, written as Quantum ESPRESSO input:
```
&SYSTEM
  ibrav = 0, nat = 8, ntyp = 3
/
ATOMIC_SPECIES
Ac 227.00 Ac.upf
In 114.82 In.upf
Pb 207.20 Pb.upf
ATOMIC_POSITIONS angstrom
Ac 0.0000 0.0000 0.0000
Ac 0.0000 0.0000 5.3595
Ac 0.0000 2.6793 2.6656
Ac 0.0000 2.6793 8.0534
Ac 2.6793 0.0000 2.6656
Ac 2.6793 0.0000 8.0534
In 2.6793 2.6793 0.0000
Pb 2.6793 2.6793 5.3595
CELL_PARAMETERS angstrom
5.3586 0.0000 0.0000
0.0000 5.3586 0.0000
0.0000 0.0000 10.7190
```



No. 6
This record from Alexandria via LeMat-Bulk describes TiHSe after structural relaxation. The functional is PBE. Values from VASP.

## Properties
- Calculated total energy: -5.742 eV per atom
- Magnetic moment: 0.00 μB/f.u.

Cell and atoms, written as Quantum ESPRESSO input:
```
&SYSTEM
  ibrav = 0, nat = 6, ntyp = 3
/
ATOMIC_SPECIES
Ti 47.87 Ti.upf
H 1.01 H.upf
Se 78.96 Se.upf
ATOMIC_POSITIONS angstrom
Ti 0.0000 0.0000 3.2962
Ti 0.0000 0.0000 23.7555
H 0.0000 0.0000 5.1825
H 0.0000 0.0000 21.8692
Se 0.0000 0.0000 10.6986
Se 0.0000 0.0000 16.3532
CELL_PARAMETERS angstrom
1.6789 0.9693 9.0172
-1.6789 0.9693 9.0172
0.0000 -1.9386 9.0172
```



No. 7
This record from Alexandria via LeMat-Bulk describes ZrBH after structural relaxation. The functional is PBE. Values from VASP.

## Properties
- Energy relative to the lowest polymorph listed for this composition: 0.79 eV per formula unit
- Magnetic moment: 0.00 μB/f.u.

Cell and atoms, written as Quantum ESPRESSO input:
```
&SYSTEM
  ibrav = 0, nat = 12, ntyp = 3
/
ATOMIC_SPECIES
Zr 91.22 Zr.upf
B 10.81 B.upf
H 1.01 H.upf
ATOMIC_POSITIONS angstrom
Zr 1.2090 0.7923 0.9668
Zr 2.0440 2.3770 3.8371
Zr 4.4619 0.7923 1.9034
Zr 5.2969 2.3770 4.7737
B 0.0908 0.7923 3.1939
B 3.1621 2.3770 0.3236
B 3.3438 0.7923 5.4169
B 6.4150 2.3770 2.5466
H 0.3611 0.7923 4.6050
H 2.8918 2.3770 1.7347
H 3.6140 0.7923 4.0058
H 6.1447 2.3770 1.1356
CELL_PARAMETERS angstrom
6.5058 0.0000 0.0000
0.0000 3.1693 0.0000
0.0000 0.0000 5.7405
```



No. 8
This record from Alexandria via LeMat-Bulk describes Mg3HgSb3 after structural relaxation. The functional is PBE. Values from VASP.

## Properties
- ΔE_f (raw): 0.85 eV per formula unit
- Magnetic moment: 1.91 μB/f.u.

Cell and atoms, written as Quantum ESPRESSO input:
```
&SYSTEM
  ibrav = 0, nat = 14, ntyp = 3
/
ATOMIC_SPECIES
Mg 24.30 Mg.upf
Hg 200.59 Hg.upf
Sb 121.76 Sb.upf
ATOMIC_POSITIONS angstrom
Mg 0.0000 2.0094 4.0188
Mg 0.0000 6.0283 4.0188
Mg 2.0094 4.0188 0.0000
Mg 4.0188 0.0000 2.0094
Mg 4.0188 0.0000 6.0283
Mg 6.0283 4.0188 0.0000
Hg 0.0000 0.0000 0.0000
Hg 4.0188 4.0188 4.0188
Sb 0.0000 4.0188 2.0094
Sb 0.0000 4.0188 6.0283
Sb 2.0094 0.0000 4.0188
Sb 4.0188 2.0094 0.0000
Sb 4.0188 6.0283 0.0000
Sb 6.0283 0.0000 4.0188
CELL_PARAMETERS angstrom
8.0377 0.0000 0.0000
0.0000 8.0377 0.0000
0.0000 0.0000 8.0377
```